VASP calculation (PBE) on a relaxed structure of YTmCuGe.

Cell lengths 6.9888, 6.9888, 6.9888 Å; angles 90.00, 90.00, 90.00 degrees
Last column: nearest neighbours and their distance in Å.
Space group F-43m (No. 216)
One atom of each set of equivalent atoms:
Y (0.0000, 0.0000, 0.0000) [4 per cell]  4 Ge 3.03, 4 Cu 3.03
Tm (0.0000, 0.0000, 0.5000) [4 per cell]  4 Ge 3.03, 4 Cu 3.03
Cu (0.2500, 0.2500, 0.7500) [4 per cell]  4 Tm 3.03, 4 Y 3.03
Ge (0.2500, 0.2500, 0.2500) [4 per cell]  4 Tm 3.03, 4 Y 3.03

VASP calculation (PBE) on a relaxed structure of YTm2Cu2Ge2.

Cell lengths 4.1469, 4.1469, 30.9173 Å; angles 90.00, 90.00, 120.00 degrees
Last column: nearest neighbours and their distance in Å.
Space group R-3m (No. 166, hexagonal axes)
One atom of each set of equivalent atoms:
Y (0.0000, 0.0000, 0.0000) [3 per cell]  6 Ge 3.08, 6 Cu 3.10
Tm (0.0000, 0.0000, 0.1213) [6 per cell]  3 Cu 2.98, 3 Ge 3.00
Cu (0.0000, 0.0000, 0.3970) [6 per cell]  3 Ge 2.39
Ge (0.0000, 0.0000, 0.2706) [6 per cell]  3 Cu 2.39

VASP calculation (PBE) on a relaxed structure of Tm2ZnCu3Ge4.

Cell lengths 4.0326, 4.0326, 10.5796 Å; angles 90.00, 90.00, 90.00 degrees
Last column: nearest neighbours and their distance in Å.
Space group P-4m2 (No. 115)
One atom of each set of equivalent atoms:
Tm (0.0000, 0.5000, 0.2489) [2 per cell]  8 Ge 3.07-3.33, 6 Cu 3.09-3.32, 2 Zn 3.32
Zn (0.5000, 0.5000, 0.0000) [1 per cell]  4 Ge 2.51
Cu (0.0000, 0.0000, 0.0000) [1 per cell]  4 Ge 2.51
Cu (0.0000, 0.5000, 0.6375) [2 per cell]  5 Ge 2.33-2.49
Ge (0.0000, 0.0000, 0.5000) [1 per cell]  4 Cu 2.49
Ge (0.0000, 0.5000, 0.8580) [2 per cell]  3 Cu 2.33-2.51, 2 Zn 2.51
Ge (0.5000, 0.5000, 0.5000) [1 per cell]  4 Cu 2.49

VASP calculation (PBE) on a relaxed structure of Tm2Zn3Cu12Ge.

Cell lengths 6.1554, 6.1554, 26.5650 Å; angles 90.00, 90.00, 120.00 degrees
Last column: nearest neighbours and their distance in Å.
Space group R-3m (No. 166, hexagonal axes)
One atom of each set of equivalent atoms:
Tm (0.0000, 0.0000, 0.1424) [6 per cell]  6 Cu 2.88
Zn (0.0000, 0.5000, 0.0000) [9 per cell]  4 Cu 2.37
Cu (0.0184, 0.5092, 0.8973) [18 per cell]  2 Cu 2.47, 1 Ge 2.53, 1 Zn 2.73
Cu (0.0761, 0.5381, 0.6194) [18 per cell]  2 Zn 2.37, 4 Cu 2.37-2.47
Ge (0.0000, 0.0000, 0.5000) [3 per cell]  6 Cu 2.53

VASP calculation (PBE) on a relaxed structure of U3Cu4Ge4.

Cell lengths 8.2961, 4.0516, 11.8810 Å; angles 90.00, 90.00, 90.00 degrees
Last column: nearest neighbours and their distance in Å.
Space group Amm2 (No. 38)
One atom of each set of equivalent atoms:
U (0.0000, 0.0000, 0.0000) [2 per cell]  2 U 2.60
U (0.2604, 0.0000, 0.1222) [4 per cell]  1 U 2.60
Cu (0.0000, 0.0000, 0.3166) [2 per cell]  4 Ge 2.51-2.52
Cu (0.2573, 0.0000, 0.8162) [4 per cell]  4 Ge 2.48-2.59
Cu (0.5000, 0.0000, 0.3225) [2 per cell]  4 Ge 2.46-2.58
Ge (0.0000, 0.0000, 0.6921) [2 per cell]  4 Cu 2.51-2.59
Ge (0.2516, 0.0000, 0.4360) [4 per cell]  4 Cu 2.46-2.52
Ge (0.5000, 0.0000, 0.6882) [2 per cell]  4 Cu 2.52-2.58

VASP calculation (PBE) on a relaxed structure of UCu2Ge2.

Cell lengths 4.0297, 4.0297, 10.4892 Å; angles 90.00, 90.00, 90.00 degrees
Last column: nearest neighbours and their distance in Å.
Space group I4/mmm (No. 139)
One atom of each set of equivalent atoms:
U (0.0000, 0.0000, 0.0000) [2 per cell]  8 Ge 3.11, 8 Cu 3.31
Cu (0.0000, 0.5000, 0.2500) [4 per cell]  4 Ge 2.44
Ge (0.0000, 0.0000, 0.3811) [4 per cell]  4 Cu 2.44, 1 Ge 2.50

VASP calculation (PBE) on a relaxed structure of UCu3Ge3.

Cell lengths 6.5363, 6.5363, 6.5363 Å; angles 90.00, 90.00, 90.00 degrees
Last column: nearest neighbours and their distance in Å.
Space group Pm-3n (No. 223)
One atom of each set of equivalent atoms:
U (0.0000, 0.0000, 0.0000) [2 per cell]  12 Ge 3.65, 12 Cu 3.65
Cu (0.0000, 0.2500, 0.5000) [6 per cell]  4 Ge 2.31
Ge (0.0000, 0.5000, 0.2500) [6 per cell]  4 Cu 2.31

VASP calculation (PBE) on a relaxed structure of UCu3Ge2.

Cell lengths 15.0940, 3.9836, 7.2472 Å; angles 90.00, 116.07, 90.00 degrees
Last column: nearest neighbours and their distance in Å.
Space group C2/m (No. 12)
One atom of each set of equivalent atoms:
U (0.1446, 0.0000, 0.0633) [4 per cell]  7 Ge 2.96-3.10, 6 Cu 3.25-3.31
Cu (0.0428, 0.0000, 0.3886) [4 per cell]  3 Ge 2.42-2.49, 1 Cu 2.47
Cu (0.0976, 0.5000, 0.6778) [4 per cell]  3 Ge 2.41-2.47, 1 Cu 2.53
Cu (0.1897, 0.5000, 0.4587) [4 per cell]  4 Ge 2.44-2.66, 3 Cu 2.53-2.58
Ge (0.0215, 0.5000, 0.1843) [4 per cell]  4 Cu 2.41-2.44, 1 Ge 2.46
Ge (0.2003, 0.0000, 0.7103) [4 per cell]  6 Cu 2.46-2.66

VASP calculation (PBE) on a relaxed structure of U3Cu4Ge4.

Cell lengths 14.4688, 6.4777, 4.3529 Å; angles 90.00, 107.48, 90.00 degrees
Last column: nearest neighbours and their distance in Å.
Space group C2/m (No. 12)
One atom of each set of equivalent atoms:
U (0.0000, 0.0000, 0.0000) [2 per cell]  6 Ge 2.92-2.96
U (0.1230, 0.5000, 0.1228) [4 per cell]  6 Cu 3.02-3.10, 6 Ge 3.05-3.13
Cu (0.1710, 0.1919, 0.6700) [8 per cell]  4 Ge 2.46-2.58, 1 Cu 2.49
Ge (0.0000, 0.2994, 0.5000) [4 per cell]  2 Cu 2.46, 1 Ge 2.60
Ge (0.2142, 0.0000, 0.2135) [4 per cell]  6 Cu 2.55-2.58

VASP calculation (PBE) on a relaxed structure of UCu12Ge6.

Cell lengths 10.7076, 10.7076, 8.7606 Å; angles 90.00, 90.00, 120.00 degrees
Last column: nearest neighbours and their distance in Å.
Space group R-3m (No. 166, hexagonal axes)
One atom of each set of equivalent atoms:
U (0.0000, 0.0000, 0.0000) [3 per cell]  6 Cu 3.05
Cu (0.0000, 0.3879, 0.5000) [18 per cell]  4 Ge 2.39-2.52, 3 Cu 2.40-2.62
Cu (0.0818, 0.1636, 0.3026) [18 per cell]  4 Ge 2.53-2.77, 4 Cu 2.62-2.63
Ge (0.0442, 0.5221, 0.2519) [18 per cell]  6 Cu 2.39-2.53

VASP calculation (PBE) on a relaxed structure of V2CuGe.

Cell lengths 3.6457, 3.6457, 3.9806 Å; angles 90.00, 90.00, 90.00 degrees
Last column: nearest neighbours and their distance in Å.
Space group P4/mmm (No. 123)
One atom of each set of equivalent atoms:
V (0.0000, 0.5000, 0.0000) [2 per cell]  4 V 2.58, 4 Ge 2.70, 4 Cu 2.70
Cu (0.0000, 0.0000, 0.5000) [1 per cell]  4 Ge 2.58, 8 V 2.70
Ge (0.5000, 0.5000, 0.5000) [1 per cell]  4 Cu 2.58, 8 V 2.70

VASP calculation (PBE) on a relaxed structure of V2CuGe.

Cell lengths 6.7433, 6.7433, 5.0874 Å; angles 90.00, 90.00, 90.00 degrees
Last column: nearest neighbours and their distance in Å.
Space group I-42d (No. 122)
One atom of each set of equivalent atoms:
V (0.2491, 0.2500, 0.1250) [8 per cell]  2 Cu 2.46, 2 Ge 2.47, 2 V 2.54
Cu (0.0000, 0.0000, 0.0000) [4 per cell]  4 V 2.46, 2 Ge 2.54
Ge (0.0000, 0.0000, 0.5000) [4 per cell]  4 V 2.47, 2 Cu 2.54

VASP calculation (PBE) on a relaxed structure of V3CuGe.

Properties
Offset from the most stable computed form (meV/atom): 107.7

Cell lengths 4.4984, 4.4984, 4.4984 Å; angles 90.00, 90.00, 90.00 degrees
Last column: nearest neighbours and their distance in Å.
Space group Pm-3m (No. 221)
One atom of each set of equivalent atoms:
V (0.0000, 0.0000, 0.5000) [3 per cell]  2 Ge 2.25
Cu (0.5000, 0.5000, 0.5000) [1 per cell]  12 V 3.18
Ge (0.0000, 0.0000, 0.0000) [1 per cell]  6 V 2.25

VASP calculation (PBE) on a relaxed structure of VCu3Ge.

Properties
Offset from the most stable computed form (meV/atom): 508.8

Cell lengths 4.5814, 4.5814, 4.5814 Å; angles 90.00, 90.00, 90.00 degrees
Last column: nearest neighbours and their distance in Å.
Space group Pm-3m (No. 221)
One atom of each set of equivalent atoms:
V (0.0000, 0.0000, 0.0000) [1 per cell]  6 Cu 2.29
Cu (0.0000, 0.0000, 0.5000) [3 per cell]  2 V 2.29
Ge (0.5000, 0.5000, 0.5000) [1 per cell]  12 Cu 3.24

VASP calculation (PBE) on a relaxed structure of V6CuGe3.

Cell lengths 7.9679, 12.1277, 6.1169 Å; angles 90.00, 90.00, 90.00 degrees
Last column: nearest neighbours and their distance in Å.
Space group Cmc2_1 (No. 36)
One atom of each set of equivalent atoms:
V (0.0000, 0.0545, 0.0000) [4 per cell]  2 V 2.53, 4 Ge 2.62-2.64, 1 Cu 2.63
V (0.0000, 0.2730, 0.2253) [4 per cell]  6 V 2.48-2.72, 3 Ge 2.56-2.57
V (0.1850, 0.4386, 0.1936) [8 per cell]  4 Ge 2.47-2.68, 2 V 2.50-2.55
V (0.2202, 0.2042, 0.9745) [8 per cell]  4 V 2.48-2.72, 3 Ge 2.54-2.63, 1 Cu 2.65
Cu (0.0000, 0.1825, 0.6528) [4 per cell]  3 Ge 2.56-2.75, 6 V 2.63-2.84
Ge (0.0000, 0.4037, 0.5535) [4 per cell]  7 V 2.56-2.68, 1 Cu 2.75
Ge (0.1822, 0.1082, 0.3400) [8 per cell]  7 V 2.47-2.64, 1 Cu 2.56

VASP calculation (PBE) on a relaxed structure of VCuGe3.

Cell lengths 4.7291, 4.7291, 4.7291 Å; angles 90.00, 90.00, 90.00 degrees
Last column: nearest neighbours and their distance in Å.
Space group Pm-3m (No. 221)
One atom of each set of equivalent atoms:
V (0.0000, 0.0000, 0.0000) [1 per cell]  6 Ge 2.36
Cu (0.5000, 0.5000, 0.5000) [1 per cell]  12 Ge 3.34
Ge (0.0000, 0.0000, 0.5000) [3 per cell]  2 V 2.36

VASP calculation (PBE) on a relaxed structure of VCu2Ge.

Cell lengths 3.5039, 3.5039, 18.6889 Å; angles 90.00, 90.00, 90.00 degrees
Last column: nearest neighbours and their distance in Å.
Space group I-42d (No. 122)
One atom of each set of equivalent atoms:
V (0.0000, 0.0000, 0.0000) [4 per cell]  4 Ge 2.48, 4 Cu 2.65
Cu (0.2481, 0.2500, 0.6250) [8 per cell]  4 Cu 2.47-2.49, 2 Ge 2.64, 2 V 2.65
Ge (0.0000, 0.0000, 0.5000) [4 per cell]  4 V 2.48, 4 Cu 2.64

VASP calculation (PBE) on a relaxed structure of V2CuGe4.

Cell lengths 4.7219, 4.7219, 12.1202 Å; angles 90.00, 90.00, 90.00 degrees
Last column: nearest neighbours and their distance in Å.
Space group I4/mmm (No. 139)
One atom of each set of equivalent atoms:
V (0.0000, 0.0000, 0.0919) [4 per cell]  1 V 2.23
Cu (0.0000, 0.0000, 0.5000) [2 per cell]  6 Ge 2.36-2.40
Ge (0.0000, 0.0000, 0.3020) [4 per cell]  1 Cu 2.40, 1 V 2.55
Ge (0.0000, 0.5000, 0.0000) [4 per cell]  2 Cu 2.36, 4 V 2.61

VASP calculation (PBE) on a relaxed structure of VCu2Ge2.

Cell lengths 7.0076, 7.0076, 2.9277 Å; angles 90.00, 90.00, 90.00 degrees
Last column: nearest neighbours and their distance in Å.
Space group P4/mbm (No. 127)
One atom of each set of equivalent atoms:
V (0.0000, 0.0000, 0.0000) [2 per cell]  4 Ge 2.62, 2 V 2.93
Cu (0.1344, 0.3656, 0.5000) [4 per cell]  6 Ge 2.48-2.56, 1 Cu 2.66
Ge (0.1639, 0.6639, 0.0000) [4 per cell]  6 Cu 2.48-2.56, 2 V 2.62

VASP calculation (PBE) on a relaxed structure of V3CuGe.

Properties
Offset from the most stable computed form (meV/atom): 0.0

Cell lengths 4.3689, 4.3689, 4.3689 Å; angles 90.00, 90.00, 90.00 degrees
Last column: nearest neighbours and their distance in Å.
Space group Pm-3m (No. 221)
One atom of each set of equivalent atoms:
V (0.0000, 0.0000, 0.5000) [3 per cell]  2 Cu 2.18
Cu (0.0000, 0.0000, 0.0000) [1 per cell]  6 V 2.18
Ge (0.5000, 0.5000, 0.5000) [1 per cell]  12 V 3.09

Values of formation enthalpy at 0 K, in order: -502 -489 -421 93 -114 -184 356 -123 -145 158 -149 284 1126 1255 -15 540 226 527 139 1019, all in meV/atom.
Values of magnetization, in order: 0.00 0.00 0.00 0.00 11.84 5.28 5.61 9.44 8.20 8.82 0.00 0.00 2.50 2.75 0.00 0.00 0.90 0.00 0.00 0.00, all in Bohr magnetons per cell.